one) VASP calculation (PBE-GGA) on a geometry-optimized Tm6MgSc structure.

## Properties
N(E_F) = 13.243 states/eV/cell

```
Tm6MgSc
1.0
-3.841 0.570 2.892
-2.501 -3.145 -2.702
3.143 -7.324 5.617
Tm Mg Sc
6 1 1
direct
0.500 0.500 0.000
0.500 0.500 0.500
0.500 0.000 0.247
0.500 0.000 0.753
0.000 0.500 0.247
0.000 0.500 0.753
0.000 0.000 0.500
0.000 0.000 0.000
```


two) VASP calculation (PBE-GGA) on a geometry-optimized Tm6MgSc structure.

## Properties
N(E_F) = 15.510 states/eV/cell

```
Tm6MgSc
1.0
-4.308 5.036 -5.107
-8.191 3.451 2.124
-2.538 5.591 0.800
Tm Mg Sc
6 1 1
direct
0.956 0.498 0.793
0.752 0.957 0.789
0.498 0.248 0.297
0.248 0.043 0.211
0.044 0.502 0.207
0.502 0.752 0.703
0.000 0.000 0.000
0.500 0.500 0.500
```


If you had to bet on the most stable structure above, which would it be? Bet on one).